No. 1
First-principles (PBE) data for a relaxed Ca2Zn3PtAu12 crystal, as listed in Alexandria via LeMat-Bulk.

* ΔH_f (0 K): -0.151 eV/atom
* total energy: -3.107 eV/atom
* space-group type: R-3m (166)
* total moment: 0.00 μB per cell

Cell and atoms, written as CIF:
```
data_Ca2Zn3PtAu12
_chemical_formula_sum 'Ca2 Zn3 Pt1 Au12'
_symmetry_space_group_name_H-M 'P 1'
_symmetry_Int_Tables_number 1
_cell_length_a 10.155
_cell_length_b 10.155
_cell_length_c 10.155
_cell_angle_alpha 40.09
_cell_angle_beta 40.09
_cell_angle_gamma 40.09
loop_
_symmetry_equiv_pos_as_xyz
'x,y,z'
loop_
_atom_site_label
_atom_site_type_symbol
_atom_site_fract_x
_atom_site_fract_y
_atom_site_fract_z
Au1 Au 0.589 0.589 0.185
Au2 Au 0.589 0.185 0.589
Au3 Au 0.185 0.589 0.589
Au4 Au 0.411 0.815 0.411
Au5 Au 0.111 0.111 0.597
Au6 Au 0.111 0.597 0.111
Au7 Au 0.597 0.111 0.111
Au8 Au 0.403 0.889 0.889
Au9 Au 0.815 0.411 0.411
Au10 Au 0.411 0.411 0.815
Au11 Au 0.889 0.403 0.889
Au12 Au 0.889 0.889 0.403
Pt1 Pt 0.000 0.000 0.000
Zn1 Zn 0.500 0.000 0.000
Zn2 Zn 0.000 0.500 0.000
Zn3 Zn 0.000 0.000 0.500
Ca1 Ca 0.357 0.357 0.357
Ca2 Ca 0.643 0.643 0.643
```


No. 2
First-principles (PBE) data for a relaxed Ca2Zn2Pt5Au crystal, as listed in Alexandria via LeMat-Bulk.

* ΔH_f (0 K): -0.645 eV/atom
* total energy: -4.648 eV/atom
* space-group type: P4/mbm (127)
* total moment: 0.00 μB per cell

Cell and atoms, written as CIF:
```
data_Ca2Zn2Pt5Au
_chemical_formula_sum 'Ca4 Zn4 Pt10 Au2'
_symmetry_space_group_name_H-M 'P 1'
_symmetry_Int_Tables_number 1
_cell_length_a 3.907
_cell_length_b 9.535
_cell_length_c 9.535
_cell_angle_alpha 90.00
_cell_angle_beta 90.00
_cell_angle_gamma 90.00
loop_
_symmetry_equiv_pos_as_xyz
'x,y,z'
loop_
_atom_site_label
_atom_site_type_symbol
_atom_site_fract_x
_atom_site_fract_y
_atom_site_fract_z
Pt1 Pt 0.500 0.292 0.565
Pt2 Pt 0.500 0.935 0.208
Pt3 Pt 0.500 0.565 0.708
Pt4 Pt 0.500 0.065 0.792
Pt5 Pt 0.500 0.435 0.292
Pt6 Pt 0.500 0.000 0.500
Pt7 Pt 0.500 0.708 0.435
Pt8 Pt 0.500 0.792 0.935
Pt9 Pt 0.500 0.208 0.065
Pt10 Pt 0.500 0.500 0.000
Ca1 Ca 0.000 0.678 0.178
Ca2 Ca 0.000 0.178 0.322
Ca3 Ca 0.000 0.322 0.822
Ca4 Ca 0.000 0.822 0.678
Zn1 Zn 0.000 0.878 0.378
Zn2 Zn 0.000 0.378 0.122
Zn3 Zn 0.000 0.622 0.878
Zn4 Zn 0.000 0.122 0.622
Au1 Au 0.000 0.000 0.000
Au2 Au 0.000 0.500 0.500
```


No. 3
First-principles (PBE) data for a relaxed Ca2ZnPt2Au5 crystal, as listed in Alexandria via LeMat-Bulk.

* ΔH_f (0 K): -0.500 eV/atom
* total energy: -3.874 eV/atom
* space-group type: P4/mbm (127)
* total moment: 0.00 μB per cell

Cell and atoms, written as CIF:
```
data_Ca2ZnPt2Au5
_chemical_formula_sum 'Ca4 Zn2 Pt4 Au10'
_symmetry_space_group_name_H-M 'P 1'
_symmetry_Int_Tables_number 1
_cell_length_a 4.078
_cell_length_b 9.905
_cell_length_c 9.905
_cell_angle_alpha 90.00
_cell_angle_beta 90.00
_cell_angle_gamma 90.00
loop_
_symmetry_equiv_pos_as_xyz
'x,y,z'
loop_
_atom_site_label
_atom_site_type_symbol
_atom_site_fract_x
_atom_site_fract_y
_atom_site_fract_z
Zn1 Zn 0.000 0.500 0.500
Zn2 Zn 0.000 0.000 0.000
Ca1 Ca 0.000 0.670 0.170
Ca2 Ca 0.000 0.330 0.830
Ca3 Ca 0.000 0.830 0.670
Ca4 Ca 0.000 0.170 0.330
Au1 Au 0.500 0.000 0.500
Au2 Au 0.500 0.939 0.194
Au3 Au 0.500 0.694 0.439
Au4 Au 0.500 0.806 0.939
Au5 Au 0.500 0.306 0.561
Au6 Au 0.500 0.061 0.806
Au7 Au 0.500 0.439 0.306
Au8 Au 0.500 0.500 0.000
Au9 Au 0.500 0.194 0.061
Au10 Au 0.500 0.561 0.694
Pt1 Pt 0.000 0.371 0.129
Pt2 Pt 0.000 0.629 0.871
Pt3 Pt 0.000 0.129 0.629
Pt4 Pt 0.000 0.871 0.371
```


No. 4
First-principles (PBE) data for a relaxed CaPu2Au8 crystal, as listed in Alexandria via LeMat-Bulk.

* ΔH_f (0 K): -0.470 eV/atom
* total energy: -5.641 eV/atom
* space-group type: C2/m (12)
* total moment: 10.76 μB per cell

Cell and atoms, written as CIF:
```
data_CaPu2Au8
_chemical_formula_sum 'Ca1 Pu2 Au8'
_symmetry_space_group_name_H-M 'P 1'
_symmetry_Int_Tables_number 1
_cell_length_a 5.250
_cell_length_b 6.033
_cell_length_c 8.684
_cell_angle_alpha 110.35
_cell_angle_beta 107.62
_cell_angle_gamma 89.94
loop_
_symmetry_equiv_pos_as_xyz
'x,y,z'
loop_
_atom_site_label
_atom_site_type_symbol
_atom_site_fract_x
_atom_site_fract_y
_atom_site_fract_z
Au1 Au 0.251 0.501 0.000
Au2 Au 0.135 0.364 0.267
Au3 Au 0.133 0.903 0.267
Au4 Au 0.865 0.636 0.733
Au5 Au 0.299 0.799 0.598
Au6 Au 0.867 0.097 0.733
Au7 Au 0.701 0.201 0.402
Au8 Au 0.749 0.499 0.000
Pu1 Pu 0.316 0.316 0.632
Pu2 Pu 0.684 0.684 0.368
Ca1 Ca 0.500 0.000 0.000
```


No. 5
First-principles (PBE) data for a relaxed CaPuAu crystal, as listed in Alexandria via LeMat-Bulk.

* ΔH_f (0 K): -0.304 eV/atom
* total energy: -6.841 eV/atom
* space-group type: Cmce (64)
* total moment: 25.70 μB per cell

Cell and atoms, written as CIF:
```
data_CaPuAu
_chemical_formula_sum 'Ca4 Pu4 Au4'
_symmetry_space_group_name_H-M 'P 1'
_symmetry_Int_Tables_number 1
_cell_length_a 6.939
_cell_length_b 6.968
_cell_length_c 7.949
_cell_angle_alpha 63.98
_cell_angle_beta 90.00
_cell_angle_gamma 90.00
loop_
_symmetry_equiv_pos_as_xyz
'x,y,z'
loop_
_atom_site_label
_atom_site_type_symbol
_atom_site_fract_x
_atom_site_fract_y
_atom_site_fract_z
Ca1 Ca 0.250 0.980 0.500
Ca2 Ca 0.750 0.520 0.500
Ca3 Ca 0.750 0.020 0.500
Ca4 Ca 0.250 0.480 0.500
Pu1 Pu 0.837 0.163 0.000
Pu2 Pu 0.337 0.337 0.000
Pu3 Pu 0.663 0.663 0.000
Pu4 Pu 0.163 0.837 0.000
Au1 Au 0.500 0.878 0.243
Au2 Au 0.500 0.122 0.757
Au3 Au 0.000 0.378 0.243
Au4 Au 0.000 0.622 0.757
```


No. 6
First-principles (PBE) data for a relaxed Ca2PuAu3 crystal, as listed in Alexandria via LeMat-Bulk.

* ΔH_f (0 K): -0.655 eV/atom
* total energy: -5.349 eV/atom
* space-group type: P4/mmm (123)
* total moment: 5.83 μB per cell

Cell and atoms, written as CIF:
```
data_Ca2PuAu3
_chemical_formula_sum 'Ca2 Pu1 Au3'
_symmetry_space_group_name_H-M 'P 1'
_symmetry_Int_Tables_number 1
_cell_length_a 3.615
_cell_length_b 3.615
_cell_length_c 11.076
_cell_angle_alpha 90.00
_cell_angle_beta 90.00
_cell_angle_gamma 90.00
loop_
_symmetry_equiv_pos_as_xyz
'x,y,z'
loop_
_atom_site_label
_atom_site_type_symbol
_atom_site_fract_x
_atom_site_fract_y
_atom_site_fract_z
Au1 Au 0.000 0.000 0.333
Au2 Au 0.000 0.000 0.667
Au3 Au 0.000 0.000 0.000
Ca1 Ca 0.500 0.500 0.835
Ca2 Ca 0.500 0.500 0.165
Pu1 Pu 0.500 0.500 0.500
```